Record 1
DFT (PBE) results for Pr6ErTm4 after structural relaxation.

Values from the calculation:
energy relative to the lowest polymorph listed for this composition	0.1560	eV per atom
energy of formation from the pure elements	3.27	eV/f.u.
volume	34.7	Å³ per atom

Cell: 6.822 6.822 9.506 Å, 111.03 111.03 90.00°
Fractional positions:
1 Tm 0.713 0.713 0.774
2 Tm 0.062 0.062 0.774
3 Pr 0.486 0.486 0.357
4 Pr 0.871 0.871 0.357
5 Pr 0.514 0.129 0.643
6 Pr 0.500 0.000 0.000
7 Pr 0.000 0.500 0.000
8 Er 0.500 0.500 0.000
9 Tm 0.938 0.287 0.226
10 Tm 0.287 0.938 0.226
11 Pr 0.129 0.514 0.643

---

Record 2
DFT (PBE) results for Ca4MgAl3 after structural relaxation.

Values from the calculation:
energy relative to the lowest polymorph listed for this composition	0.0000	eV per atom
energy of formation from the pure elements	-1.75	eV/f.u.
volume	27.3	Å³ per atom

Cell: 5.854 6.171 24.225 Å, 90.00 90.00 90.00°
Fractional positions:
1 Al 0.750 0.585 0.177
2 Al 0.250 0.585 0.323
3 Ca 0.750 0.079 0.142
4 Ca 0.750 0.921 0.642
5 Ca 0.750 0.244 0.876
6 Ca 0.750 0.496 0.546
7 Mg 0.500 0.000 0.000
8 Ca 0.250 0.756 0.124
9 Al 0.750 0.742 0.924
10 Ca 0.250 0.688 0.710
11 Mg 0.500 0.000 0.500
12 Al 0.750 0.258 0.424
13 Al 0.250 0.742 0.576
14 Al 0.250 0.258 0.076
15 Ca 0.250 0.921 0.858
16 Mg 0.000 0.000 0.000
17 Mg 0.000 0.000 0.500
18 Ca 0.250 0.312 0.210
19 Al 0.000 0.829 0.250
20 Ca 0.750 0.312 0.290
21 Al 0.500 0.171 0.750
22 Al 0.000 0.171 0.750
23 Ca 0.250 0.504 0.454
24 Al 0.750 0.415 0.677
25 Al 0.250 0.415 0.823
26 Ca 0.750 0.504 0.046
27 Al 0.500 0.829 0.250
28 Ca 0.250 0.244 0.624
29 Ca 0.750 0.756 0.376
30 Ca 0.250 0.496 0.954
31 Ca 0.250 0.079 0.358
32 Ca 0.750 0.688 0.790

---

Record 3
DFT (PBE) results for CaEr2Ag4 after structural relaxation.

Values from the calculation:
energy of formation from the pure elements	-0.63	eV/f.u.
volume	25.9	Å³ per atom

Cell: 6.202 6.202 6.202 Å, 116.64 106.01 106.01°
Fractional positions:
1 Ag 0.000 0.000 0.500
2 Ag 0.500 0.500 0.500
3 Ag 0.500 0.000 0.000
4 Er 0.500 0.000 0.500
5 Ag 0.000 0.500 0.000
6 Ca 0.000 0.000 0.000
7 Er 0.500 0.500 0.000

---

Record 4
DFT (PBE) results for Cs2PmPbO4 after structural relaxation.

Values from the calculation:
energy relative to the elements, uncorrected	-1.773	eV/atom
volume	25.8	Å³ per atom

Cell: 6.562 6.564 6.672 Å, 119.50 119.49 89.94°
Each line ends with the local moment (μB).
Fractional positions:
1 O 0.715 0.607 0.721  0.14
2 Cs 0.486 0.986 0.972  0.00
3 Pm 0.986 0.486 0.972  0.04
4 O 0.358 0.756 0.222  0.14
5 O 0.005 0.113 0.721  0.14
6 Cs 0.236 0.236 0.472  0.01
7 O 0.864 0.466 0.222  0.14
8 Pb 0.736 0.736 0.472  0.14

---

Record 5
DFT (PBE) results for Ti2BeGa4 after structural relaxation.

Values from the calculation:
energy of formation from the pure elements	1.38	eV/f.u.
volume	17.1	Å³ per atom

Cell: 4.274 4.274 7.228 Å, 72.81 72.81 90.00°
Fractional positions:
1 Be 0.000 0.000 0.000
2 Ti 0.628 0.628 0.744
3 Ti 0.372 0.372 0.256
4 Ga 0.500 0.000 0.000
5 Ga 0.176 0.176 0.648
6 Ga 0.824 0.824 0.352
7 Ga 0.000 0.500 0.000

---

Record 6
DFT (PBE) results for InAsPd2 after structural relaxation.

Values from the calculation:
energy of formation from the pure elements	-1.11	eV/f.u.
volume	19.0	Å³ per atom

Cell: 4.130 4.130 5.675 Å, 68.66 68.66 60.00°
Fractional positions:
1 Pd 0.265 0.265 0.204
2 In 0.494 0.494 0.518
3 As 0.676 0.676 0.973
4 Pd 0.065 0.065 0.805

---

Record 7
DFT (PBE) results for CsK2CaBi after structural relaxation.

Values from the calculation:
energy of formation from the pure elements	-1.08	eV/f.u.
volume	62.7	Å³ per atom

Cell: 7.092 7.092 6.233 Å, 90.00 90.00 90.00°
Fractional positions:
1 Bi 0.000 0.000 0.000
2 Ca 0.000 0.000 0.500
3 K 0.500 0.000 0.000
4 K 0.000 0.500 0.000
5 Cs 0.500 0.500 0.500

---

Record 8
DFT (PBE) results for GaPC2 after structural relaxation.

Values from the calculation:
energy relative to the lowest polymorph listed for this composition	0.0000	eV per atom
energy of formation from the pure elements	0.77	eV/f.u.
volume	10.8	Å³ per atom

Cell: 4.488 4.488 5.340 Å, 65.15 65.15 90.00°
Fractional positions:
1 C 0.875 0.829 0.750
2 Ga 0.000 0.000 0.000
3 C 0.171 0.625 0.250
4 C 0.579 0.125 0.250
5 P 0.250 0.750 0.500
6 Ga 0.750 0.250 0.500
7 P 0.500 0.500 0.000
8 C 0.375 0.421 0.750

---

Record 9
DFT (PBE) results for CeSm10Ho4 after structural relaxation.

Values from the calculation:
energy of formation from the pure elements	5.03	eV/f.u.
volume	33.7	Å³ per atom

Cell: 10.645 8.709 8.709 Å, 68.07 52.33 52.33°
Each line ends with the local moment (μB).
Fractional positions:
1 Ho 0.332 0.729 0.606  0.03
2 Ho 0.938 0.394 0.729  0.03
3 Ho 0.062 0.606 0.271  0.03
4 Sm 0.772 0.671 0.097  -0.01
5 Sm 0.870 0.903 0.671  -0.01
6 Sm 0.250 0.500 0.500  -0.03
7 Ho 0.668 0.271 0.394  0.03
8 Sm 0.443 0.097 0.329  -0.01
9 Sm 0.541 0.329 0.903  -0.01
10 Ce 0.000 0.000 0.000  1.05
11 Sm 0.557 0.903 0.671  -0.01
12 Sm 0.130 0.097 0.329  -0.01
13 Sm 0.228 0.329 0.903  -0.01
14 Sm 0.750 0.500 0.500  -0.03
15 Sm 0.459 0.671 0.097  -0.01

---

Record 10
DFT (PBE) results for K2TePtCl after structural relaxation.

Values from the calculation:
energy relative to the elements, uncorrected	-0.057	eV/atom
volume	35.1	Å³ per atom

Cell: 5.605 5.592 5.605 Å, 90.00 90.00 90.00°
Each line ends with the local moment (μB).
Fractional positions:
1 Te 0.000 0.500 0.000  0.02
2 K 0.500 0.000 0.000  0.00
3 Pt 0.500 0.500 0.500  0.14
4 K 0.000 0.000 0.500  0.00
5 Cl 0.000 0.000 0.000  0.00

---

Record 11
DFT (PBE) results for As2CBr after structural relaxation.

Values from the calculation:
energy relative to the lowest polymorph listed for this composition	0.9048	eV per atom
energy relative to the elements, uncorrected	1.779	eV/atom
volume	17.1	Å³ per atom

Cell: 4.591 4.591 4.591 Å, 60.00 60.00 60.00°
Fractional positions:
1 Br 0.500 0.500 0.500
2 As 0.750 0.750 0.750
3 As 0.250 0.250 0.250
4 C 0.000 0.000 0.000

---

Record 12
DFT (PBE) results for RbLaSiC4N8 after structural relaxation.

Values from the calculation:
energy relative to the elements, uncorrected	-0.529	eV/atom
volume	17.3	Å³ per atom

Cell: 7.033 7.033 7.033 Å, 104.16 104.16 120.71°
Fractional positions:
1 N 0.794 0.509 0.483
2 C 0.413 0.941 0.087
3 C 0.059 0.146 0.472
4 La 0.250 0.750 0.500
5 Si 0.750 0.250 0.500
6 C 0.854 0.326 0.913
7 N 0.690 0.206 0.715
8 N 0.564 0.664 0.566
9 N 0.026 0.310 0.517
10 Rb 0.500 0.500 0.000
11 N 0.336 0.902 0.900
12 N 0.002 0.436 0.100
13 N 0.098 0.998 0.434
14 C 0.674 0.587 0.528
15 N 0.491 0.974 0.285